This record from Alexandria describes a geometry-optimized Tb2PO structure. The functional is GGA-PBE.

**Density of states at the Fermi level**: 1.408 states/eV/f.u.
**Energy above the most stable polymorph in this dataset**: 7 meV/atom
**Theoretical density**: 7.039 Mg/m³
**VASP energy**: -7.035 eV/atom
**Symmetry**: No. 14
**Formation energy (no corrections)**: -2.128 eV per atom

Cell: 7.087 6.895 7.123 Å, 90.00 98.48 90.00°
Element x y z (fractional)
Tb (0.065, 0.172, 0.355)
Tb (0.065, 0.328, 0.855)
Tb (0.397, 0.749, 0.477)
Tb (0.397, 0.751, 0.977)
Tb (0.603, 0.249, 0.023)
Tb (0.603, 0.251, 0.523)
Tb (0.935, 0.672, 0.145)
Tb (0.935, 0.828, 0.645)
P (0.351, 0.072, 0.724)
P (0.351, 0.428, 0.224)
P (0.649, 0.572, 0.776)
P (0.649, 0.928, 0.276)
O (0.096, 0.655, 0.884)
O (0.096, 0.845, 0.384)
O (0.904, 0.155, 0.616)
O (0.904, 0.345, 0.116)